Zr3BeCl after structural relaxation. Source: the Alexandria database, functional PBE-GGA.

The space group is Pm-3m (No. 221) and the conventional cell measures 4.746, 4.746 and 4.746 Å, with angles of 90.00, 90.00 and 90.00 degrees. The asymmetric unit holds Zr at (0.000, 0.000, 0.500), Be at (0.500, 0.500, 0.500) and Cl at (0.000, 0.000, 0.000).

The calculation puts the total magnetic moment at 0.0 μB per formula unit. For the energy relative to the elements, uncorrected, the calculation gives 146 kJ/mol of formula units. For the distance to the lowest polymorph of the same formula, the calculation gives 0 meV per atom. For the raw total energy, the calculation gives -29.7 eV for the cell shown.

=====

Y2AgGe4Pt3 after structural relaxation. Source: the Alexandria database, functional PBE-GGA.

The space group is P-4m2 (No. 115) and the conventional cell measures 4.292, 4.292 and 10.397 Å, with angles of 90.00, 90.00 and 90.00 degrees. The asymmetric unit holds Y at (0.000, 0.500, 0.247), Ag at (0.500, 0.500, 0.000), Ge at (0.000, 0.000, 0.500), Ge at (0.000, 0.500, 0.860), Ge at (0.500, 0.500, 0.500), Pt at (0.000, 0.000, 0.000) and Pt at (0.000, 0.500, 0.626).

Its formation energy is -759 meV/atom. The calculation puts the total magnetic moment at 0.0 μB per formula unit. For the raw total energy, the calculation gives -60.0 eV for the cell shown.

=====

Ce2Se3 after structural relaxation. Source: the Alexandria database, functional PBE-GGA.

The space group is Pnma (No. 62) and the conventional cell measures 11.397, 4.165 and 11.148 Å, with angles of 90.00, 90.00 and 90.00 degrees. The asymmetric unit holds Ce at (0.010, 0.250, 0.185), Ce at (0.192, 0.250, 0.505), Se at (0.048, 0.750, 0.372), Se at (0.123, 0.250, 0.944) and Se at (0.228, 0.750, 0.702).

The calculation puts the total magnetic moment at 1.9 μB per formula unit. For the energy relative to the elements, uncorrected, the calculation gives -888 kJ/mol of formula units. For the raw total energy, the calculation gives -126.1 eV for the cell shown.

=====

Which of these has the highest raw total energy? Zr3BeCl

=====

What is the formula in the first record? Zr3BeCl